Entry A
Here is a relaxed NaCrSb3 crystal from the Alexandria database. Energies are from PBE.

The structure in extended XYZ format:
```
5
Lattice="-1.154 -2.064 -4.713 -3.816 -2.896 2.203 -3.450 3.893 -0.860" Properties=species:S:1:pos:R:3 pbc="T T T"
Sb -1.908 -1.448 1.101
Sb -1.725 1.946 -0.430
Sb -0.577 -1.032 -2.356
Na 0.000 0.000 0.000
Cr -4.210 -0.533 -1.685
```

Summary:
Space-group type = No. 221

Entry B
Here is a relaxed NaCrSb3 crystal from the Alexandria database. Energies are from PBE.

The structure in extended XYZ format:
```
5
Lattice="-1.183 -4.614 -2.070 -0.696 -1.957 4.760 -5.009 1.362 -0.173" Properties=species:S:1:pos:R:3 pbc="T T T"
Sb -0.348 -0.978 2.380
Sb -2.504 0.681 -0.086
Sb -0.592 -2.307 -1.035
Na -3.444 -2.604 1.259
Cr 0.000 0.000 0.000
```

Summary:
Space-group type = No. 221

Tell me which of them is the most stable. Sure, it is entry B.

Entry A
Here is a relaxed NaCrSbTe2 crystal from the Alexandria database. Energies are from PBE.

The structure in extended XYZ format:
```
5
Lattice="5.464 0.000 0.000 0.000 5.464 0.000 0.000 0.000 5.047" Properties=species:S:1:pos:R:3 pbc="T T T"
Sb 0.000 0.000 2.523
Te 0.000 2.732 0.000
Te 2.732 0.000 0.000
Na 2.732 2.732 2.523
Cr 0.000 0.000 0.000
```

Summary:
Space-group type = No. 123

Entry B
Here is a relaxed NaCrSbTe2 crystal from the Alexandria database. Energies are from PBE.

The structure in extended XYZ format:
```
5
Lattice="5.510 0.000 0.000 0.000 5.510 0.000 0.000 0.000 5.306" Properties=species:S:1:pos:R:3 pbc="T T T"
Sb 0.000 0.000 2.653
Te 0.000 2.755 0.000
Te 2.755 0.000 0.000
Na 0.000 0.000 0.000
Cr 2.755 2.755 2.653
```

Summary:
Space-group type = No. 123

Tell me which of them is the most stable. Sure, it is entry A.

Entry A
Here is a relaxed Na3ScCr crystal from the Alexandria database. Energies are from PBE.

The structure in extended XYZ format:
```
5
Lattice="6.060 0.000 0.000 0.000 6.060 0.000 0.000 0.000 6.060" Properties=species:S:1:pos:R:3 pbc="T T T"
Sc 0.000 0.000 0.000
Cr 3.030 3.030 3.030
Na 0.000 3.030 0.000
Na 0.000 0.000 3.030
Na 3.030 0.000 0.000
```

Summary:
Space-group type = No. 221

Entry B
Here is a relaxed Na3ScCr crystal from the Alexandria database. Energies are from PBE.

The structure in extended XYZ format:
```
5
Lattice="-1.222 -5.377 0.569 1.922 -0.977 -5.107 5.054 -0.928 2.079" Properties=species:S:1:pos:R:3 pbc="T T T"
Sc 2.877 -3.641 -1.229
Cr 0.000 0.000 0.000
Na 0.961 -0.488 -2.553
Na 2.527 -0.464 1.040
Na -0.611 -2.688 0.284
```

Summary:
Space-group type = No. 221

Tell me which of them is the most stable. Sure, it is entry B.

Entry A
Here is a relaxed NaCr2Se crystal from the Alexandria database. Energies are from PBE.

The structure in extended XYZ format:
```
8
Lattice="4.344 0.000 0.000 0.000 4.344 0.000 2.172 2.172 8.888" Properties=species:S:1:pos:R:3 pbc="T T T"
Cr 4.345 1.086 2.222
Cr 4.342 3.258 2.222
Cr 3.258 2.170 6.666
Cr 5.429 2.173 6.666
Se 0.000 0.000 0.000
Se 4.344 2.172 4.444
Na 2.172 2.172 0.000
Na 2.172 4.344 4.444
```

Summary:
Space-group type = No. 141

Entry B
Here is a relaxed NaCr2Se crystal from the Alexandria database. Energies are from PBE.

The structure in extended XYZ format:
```
4
Lattice="-1.603 -4.128 -0.192 -4.048 -0.881 1.577 -3.304 -0.966 -2.792" Properties=species:S:1:pos:R:3 pbc="T T T"
Cr -2.239 -1.494 -0.352
Cr -6.716 -4.481 -1.055
Se -4.478 -2.988 -0.703
Na 0.000 0.000 0.000
```

Summary:
Space-group type = No. 225

Tell me which of them is the most stable. Sure, it is entry A.

Entry A
Here is a relaxed NaCr3Se crystal from the Alexandria database. Energies are from PBE.

The structure in extended XYZ format:
```
5
Lattice="-1.025 3.200 3.663 -4.842 -1.028 -0.456 0.464 -3.662 3.329" Properties=species:S:1:pos:R:3 pbc="T T T"
Cr -2.421 -0.514 -0.228
Cr 0.232 -1.831 1.665
Cr -0.512 1.600 1.831
Se 0.000 0.000 0.000
Na -2.701 -0.745 3.268
```

Summary:
Space-group type = No. 221

Entry B
Here is a relaxed NaCr3Se crystal from the Alexandria database. Energies are from PBE.

The structure in extended XYZ format:
```
5
Lattice="-0.435 -0.709 4.937 -4.922 -0.742 -0.540 0.808 -4.900 -0.632" Properties=species:S:1:pos:R:3 pbc="T T T"
Cr -2.461 -0.371 -0.270
Cr 0.404 -2.450 -0.316
Cr -0.218 -0.354 2.468
Se -2.274 -3.175 1.882
Na 0.000 0.000 0.000
```

Summary:
Space-group type = No. 221

Tell me which of them is the most stable. Sure, it is entry A.

Entry A
Here is a relaxed Na2CrSe crystal from the Alexandria database. Energies are from PBE.

The structure in extended XYZ format:
```
8
Lattice="10.459 0.000 0.000 0.000 10.459 0.000 5.229 5.229 2.429" Properties=species:S:1:pos:R:3 pbc="T T T"
Cr 5.229 5.229 0.000
Cr 5.229 10.459 1.215
Se 0.000 0.000 0.000
Se 10.459 5.229 1.215
Na 9.335 2.615 0.607
Na 11.583 7.844 0.607
Na 7.844 6.354 1.822
Na 13.074 4.105 1.822
```

Summary:
Space-group type = No. 122

Entry B
Here is a relaxed Na2CrSe crystal from the Alexandria database. Energies are from PBE.

The structure in extended XYZ format:
```
4
Lattice="-0.302 -1.163 4.981 0.469 3.688 3.525 -4.079 1.468 2.730" Properties=species:S:1:pos:R:3 pbc="T T T"
Cr 0.000 0.000 0.000
Se -1.956 1.997 5.618
Na -0.978 0.998 2.809
Na -2.934 2.995 8.427
```

Summary:
Space-group type = No. 225

Tell me which of them is the most stable. Sure, it is entry A.

Entry A
Here is a relaxed Na3CrSe crystal from the Alexandria database. Energies are from PBE.

The structure in extended XYZ format:
```
5
Lattice="-1.224 -3.864 -3.755 4.687 1.135 -2.696 2.656 -3.783 3.027" Properties=species:S:1:pos:R:3 pbc="T T T"
Cr 0.000 0.000 0.000
Se 3.060 -3.256 -1.712
Na 2.344 0.567 -1.348
Na 1.328 -1.891 1.513
Na -0.612 -1.932 -1.877
```

Summary:
Space-group type = No. 221

Entry B
Here is a relaxed Na3CrSe crystal from the Alexandria database. Energies are from PBE.

The structure in extended XYZ format:
```
5
Lattice="-2.251 3.908 3.219 1.578 -2.806 4.510 4.811 2.749 0.026" Properties=species:S:1:pos:R:3 pbc="T T T"
Cr 2.069 1.926 3.878
Se 0.000 0.000 0.000
Na 0.789 -1.403 2.255
Na 2.405 1.374 0.013
Na -1.125 1.954 1.610
```

Summary:
Space-group type = No. 221

Tell me which of them is the most stable. Sure, it is entry B.

Entry A
Here is a relaxed Na3CrSi crystal from the Alexandria database. Energies are from PBE.

The structure in extended XYZ format:
```
5
Lattice="-1.961 5.142 -0.669 -3.452 -1.828 -3.934 -3.869 -0.975 3.849" Properties=species:S:1:pos:R:3 pbc="T T T"
Cr 0.000 0.000 0.000
Si -4.641 1.170 -0.377
Na -1.726 -0.914 -1.967
Na -1.935 -0.487 1.924
Na -0.980 2.571 -0.334
```

Summary:
Space-group type = No. 221

Entry B
Here is a relaxed Na3CrSi crystal from the Alexandria database. Energies are from PBE.

The structure in extended XYZ format:
```
5
Lattice="5.555 0.000 0.000 0.000 5.555 0.000 0.000 0.000 5.555" Properties=species:S:1:pos:R:3 pbc="T T T"
Cr 2.777 2.777 2.777
Si 0.000 0.000 0.000
Na 0.000 2.777 0.000
Na 0.000 0.000 2.777
Na 2.777 0.000 0.000
```

Summary:
Space-group type = No. 221

Tell me which of them is the most stable. Sure, it is entry B.

Entry A
Here is a relaxed NaCr3Si crystal from the Alexandria database. Energies are from PBE.

The structure in extended XYZ format:
```
5
Lattice="4.847 0.000 0.000 0.000 4.847 0.000 0.000 0.000 4.847" Properties=species:S:1:pos:R:3 pbc="T T T"
Cr 0.000 2.424 0.000
Cr 0.000 0.000 2.424
Cr 2.424 0.000 0.000
Si 0.000 0.000 0.000
Na 2.424 2.424 2.424
```

Summary:
Space-group type = No. 221

Entry B
Here is a relaxed NaCr3Si crystal from the Alexandria database. Energies are from PBE.

The structure in extended XYZ format:
```
5
Lattice="-3.473 -3.346 -0.216 1.991 -2.308 3.744 -2.698 2.604 3.040" Properties=species:S:1:pos:R:3 pbc="T T T"
Cr 0.996 -1.154 1.872
Cr -1.349 1.302 1.520
Cr -1.736 -1.673 -0.108
Si -2.090 -1.525 3.284
Na 0.000 0.000 0.000
```

Summary:
Space-group type = No. 221

Tell me which of them is the most stable. Sure, it is entry A.

Entry A
Here is a relaxed NaTa2CrSi crystal from the Alexandria database. Energies are from PBE.

The structure in extended XYZ format:
```
5
Lattice="-4.030 -1.455 -1.976 2.348 -3.194 -2.438 -0.594 -3.108 3.500" Properties=species:S:1:pos:R:3 pbc="T T T"
Cr -1.138 -3.878 -0.457
Si 0.000 0.000 0.000
Na 1.174 -1.597 -1.219
Ta -0.297 -1.554 1.750
Ta -2.015 -0.727 -0.988
```

Summary:
Space-group type = No. 123

Entry B
Here is a relaxed NaTa2CrSi crystal from the Alexandria database. Energies are from PBE.

The structure in extended XYZ format:
```
5
Lattice="4.545 0.000 0.000 0.000 4.925 0.000 0.000 0.000 4.545" Properties=species:S:1:pos:R:3 pbc="T T T"
Cr 0.000 0.000 0.000
Si 2.272 2.462 2.272
Na 0.000 2.462 0.000
Ta 0.000 0.000 2.272
Ta 2.272 0.000 0.000
```

Summary:
Space-group type = No. 123

Tell me which of them is the most stable. Sure, it is entry B.

Entry A
Here is a relaxed NaCr2Sn2 crystal from the Alexandria database. Energies are from PBE.

The structure in extended XYZ format:
```
10
Lattice="-2.404 4.543 6.113 5.023 -3.873 4.853 2.128 1.973 -0.629" Properties=species:S:1:pos:R:3 pbc="T T T"
Cr 3.579 -1.664 6.897
Cr 0.794 1.829 8.424
Cr -0.960 2.333 4.070
Cr 1.825 -1.159 2.543
Sn 4.068 -0.824 4.172
Sn 3.491 0.965 7.832
Sn 0.680 3.467 6.167
Sn 1.257 1.677 2.506
Na 0.000 0.000 0.000
Na 1.310 0.335 5.483
```

Summary:
Space-group type = No. 127

Entry B
Here is a relaxed NaCr2Sn2 crystal from the Alexandria database. Energies are from PBE.

The structure in extended XYZ format:
```
5
Lattice="3.320 0.000 0.000 0.000 3.320 0.000 1.660 1.660 9.349" Properties=species:S:1:pos:R:3 pbc="T T T"
Cr 3.320 1.660 4.675
Cr 1.660 3.320 4.675
Sn 1.660 1.660 2.426
Sn 3.320 3.320 6.923
Na 0.000 0.000 0.000
```

Summary:
Space-group type = No. 139

Entry C
Here is a relaxed NaCr2Sn2 crystal from the Alexandria database. Energies are from PBE.

The structure in extended XYZ format:
```
5
Lattice="4.718 0.000 0.000 0.000 4.718 0.000 2.359 2.359 4.758" Properties=species:S:1:pos:R:3 pbc="T T T"
Cr 2.359 2.359 0.898
Cr 4.718 4.718 3.859
Sn 4.718 2.359 2.379
Sn 2.359 4.718 2.379
Na 0.000 0.000 0.000
```

Summary:
Space-group type = No. 139

Tell me which of them is the most stable. Sure, it is entry B.

Entry A
Here is a relaxed NaCrSn3 crystal from the Alexandria database. Energies are from PBE.

The structure in extended XYZ format:
```
5
Lattice="5.349 0.000 0.000 0.000 5.349 0.000 0.000 0.000 5.349" Properties=species:S:1:pos:R:3 pbc="T T T"
Cr 2.675 2.675 2.675
Sn 0.000 2.675 0.000
Sn 0.000 0.000 2.675
Sn 2.675 0.000 0.000
Na 0.000 0.000 0.000
```

Summary:
Space-group type = No. 221

Entry B
Here is a relaxed NaCrSn3 crystal from the Alexandria database. Energies are from PBE.

The structure in extended XYZ format:
```
5
Lattice="5.107 0.000 0.000 0.000 5.107 0.000 0.000 0.000 5.107" Properties=species:S:1:pos:R:3 pbc="T T T"
Cr 0.000 0.000 0.000
Sn 0.000 2.553 0.000
Sn 0.000 0.000 2.553
Sn 2.553 0.000 0.000
Na 2.553 2.553 2.553
```

Summary:
Space-group type = No. 221

Tell me which of them is the most stable. Sure, it is entry B.